The following is a DFT calculation (PBE-GGA) of crystalline NaLiAcAu at its relaxed geometry.

Structure (POSCAR):
```
NaLiAcAu
1.0
-2.629 -4.280 1.832
-2.541 -3.239 -3.412
1.898 -4.909 -0.943
Li Na Ac Au
1 1 1 1
Cartesian
-1.636 -6.214 -1.262
-0.818 -3.107 -0.631
-2.454 -9.321 -1.893
0.000 0.000 0.000
```

Output
Energy relative to the elements ... -0.229 eV per atom
Total moment ... 0.000 μB per atom
SG ... F-43m
Uncorrected energy ... -11.534 eV per cell

=====

The following is a DFT calculation (PBE-GGA) of crystalline Ca3MnNb3N8 at its relaxed geometry.

Structure (POSCAR):
```
Ca3MnNb3N8
1.0
-0.357 -1.329 6.092
-1.890 -4.193 -4.227
6.550 1.078 0.620
N Ca Nb Mn
8 3 3 1
Cartesian
3.629 -1.475 -0.109
2.663 -3.618 -2.270
0.766 -2.227 -0.440
3.536 -2.217 2.925
2.480 -4.296 0.845
0.673 -2.969 2.594
1.823 -0.147 1.640
1.639 -0.826 4.755
-1.124 -2.761 0.932
0.000 0.000 0.000
-0.945 -2.097 -2.114
2.330 -1.558 -1.804
3.096 -0.125 3.356
2.151 -2.222 1.243
3.275 0.539 0.310
```

Output
Raw formation energy ... -13.6 eV/f.u.
Total moment ... 0.186 μB per atom
SG ... R-3m
Uncorrected energy ... -125.550 eV per cell

=====

The following is a DFT calculation (PBE-GGA) of crystalline FeNiAg3 at its relaxed geometry.

Structure (POSCAR):
```
FeNiAg3
1.0
4.781 0.000 0.000
0.000 4.781 0.000
0.000 0.000 4.781
Ag Ni Fe
3 1 1
Cartesian
0.000 0.000 2.390
0.000 2.390 0.000
2.390 0.000 0.000
2.390 2.390 2.390
0.000 0.000 0.000
```

Output
Energy relative to the elements ... 1.331 eV per atom
Total moment ... 0.729 μB per atom
Relative energy among the computed polymorphs ... 173 meV per atom
SG ... Pm-3m
Uncorrected energy ... -16.144 eV per cell

=====

The following is a DFT calculation (PBE-GGA) of crystalline Nd12ZnNi5 at its relaxed geometry.

Structure (POSCAR):
```
Nd12ZnNi5
1.0
-7.519 -1.381 -3.880
5.220 -6.609 -1.602
-0.797 0.593 8.515
Nd Zn Ni
12 1 5
Cartesian
-6.145 -1.149 -1.376
-3.601 -4.610 2.601
0.505 -2.787 0.433
-2.008 -5.200 -0.624
3.050 -6.247 4.409
-0.224 -5.738 2.639
0.458 -4.298 6.073
-6.264 -1.980 2.285
-3.554 -3.099 -3.039
-1.088 -2.196 3.657
3.169 -5.416 0.748
-2.872 -1.659 0.394
2.212 -3.008 3.456
0.510 -6.252 -0.148
-1.458 -5.068 -3.477
-0.841 -2.922 -2.005
-3.606 -1.145 3.181
0.000 0.000 0.000
```

Output
Energy relative to the elements ... -0.205 eV per atom
Total moment ... 0.000 μB per atom
SG ... Immm
Uncorrected energy ... -91.079 eV per cell

=====

The following is a DFT calculation (PBE-GGA) of crystalline Ac2SmDyY5 at its relaxed geometry.

Structure (POSCAR):
```
Ac2SmDyY5
1.0
5.809 0.000 0.000
-2.904 10.120 0.000
0.000 0.000 10.975
Sm Ac Y Dy
2 4 10 2
Cartesian
2.904 5.984 5.600
0.000 4.135 0.112
0.000 2.362 3.540
2.904 7.883 2.565
0.000 2.237 8.053
2.904 7.758 9.027
2.904 0.425 2.617
2.904 9.719 5.789
0.000 7.979 0.257
2.904 2.141 5.745
2.904 4.082 2.221
2.904 4.348 8.821
0.000 9.695 8.104
0.000 0.401 0.301
0.000 5.772 3.333
0.000 6.038 7.708
0.000 8.396 5.071
2.904 1.724 10.559
```

Output
Energy relative to the elements ... 0.151 eV per atom
Total moment ... 0.000 μB per atom
SG ... Cmc2_1
Uncorrected energy ... -97.000 eV per cell

=====

The following is a DFT calculation (PBE-GGA) of crystalline Al2FeI at its relaxed geometry.

Structure (POSCAR):
```
Al2FeI
1.0
5.033 0.000 0.000
0.000 5.033 0.000
2.516 2.516 7.989
Al Fe I
4 2 2
Cartesian
2.039 3.775 1.997
3.775 4.556 5.992
6.291 5.510 5.992
2.993 1.258 1.997
2.516 2.516 0.000
2.516 5.033 3.994
0.000 0.000 0.000
5.033 2.516 3.994
```

Output
Raw formation energy ... 2.3 eV/f.u.
Total moment ... 0.414 μB per atom
Relative energy among the computed polymorphs ... 0 meV per atom
SG ... I-42d
Uncorrected energy ... -30.316 eV per cell

=====

The following is a DFT calculation (PBE-GGA) of crystalline MnBiPd14 at its relaxed geometry.

Structure (POSCAR):
```
MnBiPd14
1.0
5.683 -0.012 0.000
0.012 5.683 0.000
0.000 0.000 7.854
Pd Bi Mn
14 1 1
Cartesian
4.983 4.962 0.000
0.693 3.575 5.900
3.584 3.569 1.953
3.578 0.678 1.953
4.977 2.120 0.000
2.142 4.968 3.927
3.578 0.678 5.900
2.142 4.968 0.000
0.687 0.684 5.900
3.584 3.569 5.900
4.977 2.121 3.927
0.687 0.684 1.953
0.693 3.575 1.953
2.136 2.126 0.000
2.136 2.127 3.927
4.983 4.962 3.927
```

Output
Energy relative to the elements ... -0.110 eV per atom
Total moment ... 0.318 μB per atom
SG ... P4/mmm
Uncorrected energy ... -87.511 eV per cell

=====

The following is a DFT calculation (PBE-GGA) of crystalline Hf6SbOs at its relaxed geometry.

Structure (POSCAR):
```
Hf6SbOs
1.0
-4.622 -1.916 2.488
-1.127 -5.881 4.865
1.857 1.145 5.379
Sb Hf Os
1 6 1
Cartesian
-1.946 -3.326 6.366
-3.840 -6.065 9.999
-1.818 -4.007 9.356
-4.032 -5.720 6.928
0.141 -0.933 5.804
-0.051 -0.588 2.733
-2.074 -2.645 3.376
0.000 0.000 0.000
```

Output
Raw formation energy ... -1.3 eV/f.u.
Total moment ... 0.000 μB per atom
SG ... C2/m
Uncorrected energy ... -76.410 eV per cell

=====

The following is a DFT calculation (PBE-GGA) of crystalline InMoS2N at its relaxed geometry.

Structure (POSCAR):
```
InMoS2N
1.0
-0.102 0.905 -4.971
-5.036 -0.430 0.025
-0.344 4.067 0.747
S N In Mo
2 1 1 1
Cartesian
-0.051 0.452 -2.486
-2.518 -0.215 0.012
-0.172 2.034 0.374
0.000 0.000 0.000
-2.741 2.271 -2.100
```

Output
Raw formation energy ... 6.3 eV/f.u.
Total moment ... 0.400 μB per atom
Relative energy among the computed polymorphs ... 1305 meV per atom
SG ... P4/mmm
Uncorrected energy ... -23.824 eV per cell

=====

The following is a DFT calculation (PBE-GGA) of crystalline LaGeRu at its relaxed geometry.

Structure (POSCAR):
```
LaGeRu
1.0
-2.053 2.838 -2.494
1.111 -2.242 -3.466
-3.663 -0.870 2.025
Ru Ge La
1 1 1
Cartesian
-2.452 -0.801 -0.268
-0.331 0.457 -0.402
-1.822 0.070 -3.266
```

Output
Energy relative to the elements ... -0.537 eV per atom
Total moment ... 0.000 μB per atom
SG ... P3m1
Uncorrected energy ... -20.432 eV per cell

=====

The following is a DFT calculation (PBE-GGA) of crystalline Dy2UTc2C4 at its relaxed geometry.

Structure (POSCAR):
```
Dy2UTc2C4
1.0
-3.031 0.751 -1.485
-1.485 -4.021 5.023
0.276 5.635 2.288
Dy Tc C U
2 2 4 1
Cartesian
-3.576 0.310 3.432
-0.664 2.054 2.394
-2.563 -0.884 0.758
-1.677 3.249 5.068
-2.798 -2.053 4.673
-1.316 -0.372 2.498
-2.924 2.737 3.328
-1.442 4.418 1.153
0.000 0.000 0.000
```

Output
Energy relative to the elements ... -0.040 eV per atom
Total moment ... 0.000 μB per atom
SG ... C2/m
Uncorrected energy ... -78.480 eV per cell

=====

The following is a DFT calculation (PBE-GGA) of crystalline TbEu2Mg at its relaxed geometry.

Structure (POSCAR):
```
TbEu2Mg
1.0
5.178 0.000 0.000
0.000 5.113 0.000
0.000 0.000 5.113
Eu Mg Tb
2 1 1
Cartesian
0.000 0.000 2.556
0.000 2.556 0.000
2.589 2.556 2.556
2.589 0.000 0.000
```

Output
Energy relative to the elements ... 0.077 eV per atom
Total moment ... 3.850 μB per atom
Relative energy among the computed polymorphs ... 35 meV per atom
SG ... P4/mmm
Uncorrected energy ... -26.465 eV per cell

=====

The following is a DFT calculation (PBE-GGA) of crystalline Tl2N2F5 at its relaxed geometry.

Structure (POSCAR):
```
Tl2N2F5
1.0
-0.132 -3.792 -5.316
2.361 -2.612 5.500
-6.461 1.382 1.339
Tl F N
2 5 2
Cartesian
1.866 -2.846 3.351
0.363 -3.557 -3.167
-0.071 -1.732 3.085
-2.915 -2.700 3.846
-4.161 -3.290 -1.562
-1.318 -2.322 -2.323
0.000 0.000 0.000
-0.627 -3.795 0.559
-3.605 -1.227 0.965
```

Output
Raw formation energy ... -1.2 eV/f.u.
Total moment ... 0.641 μB per atom
SG ... Fmmm
Uncorrected energy ... -31.934 eV per cell

=====

The following is a DFT calculation (PBE-GGA) of crystalline Sr3AlW at its relaxed geometry.

Structure (POSCAR):
```
Sr3AlW
1.0
-0.889 3.347 5.039
-5.524 1.626 -2.055
-2.465 -4.851 2.787
Sr W Al
3 1 1
Cartesian
-1.232 -2.426 1.394
-0.445 1.673 2.519
-2.762 0.813 -1.027
-4.439 0.061 2.886
0.000 0.000 0.000
```

Output
Energy relative to the elements ... 1.280 eV per atom
Total moment ... 0.971 μB per atom
Relative energy among the computed polymorphs ... 147 meV per atom
SG ... Pm-3m
Uncorrected energy ... -15.339 eV per cell

=====

The following is a DFT calculation (PBE-GGA) of crystalline GaI2O at its relaxed geometry.

Structure (POSCAR):
```
GaI2O
1.0
7.136 0.000 0.000
0.000 7.136 0.000
3.568 3.568 4.151
I O Ga
4 2 2
Cartesian
8.920 8.861 3.114
5.352 5.411 3.114
5.293 1.784 1.038
1.843 5.352 1.038
3.568 3.568 0.000
3.568 7.136 2.076
7.136 3.568 2.076
0.000 0.000 0.000
```

Output
Raw formation energy ... 1.2 eV/f.u.
Total moment ... 0.250 μB per atom
Relative energy among the computed polymorphs ... 0 meV per atom
SG ... I-42d
Uncorrected energy ... -19.783 eV per cell

=====

The following is a DFT calculation (PBE-GGA) of crystalline In2AuSe at its relaxed geometry.

Structure (POSCAR):
```
In2AuSe
1.0
-3.412 -1.833 1.219
1.400 -3.542 -1.407
2.504 -1.124 5.319
In Au Se
2 1 1
Cartesian
2.192 -0.984 4.656
-0.067 -3.109 1.900
1.185 -3.670 4.559
0.939 -0.421 1.994
```

Output
Raw formation energy ... -1.1 eV/f.u.
Total moment ... 0.000 μB per atom
SG ... P4/mmm
Uncorrected energy ... -13.306 eV per cell

=====

The following is a DFT calculation (PBE-GGA) of crystalline Na2LiInSb2 at its relaxed geometry.

Structure (POSCAR):
```
Na2LiInSb2
1.0
-3.082 -0.959 -5.382
-4.755 -3.738 3.389
-0.196 8.694 2.222
Sb Na In Li
4 4 2 2
Cartesian
-4.770 3.265 3.999
-4.083 -0.652 0.645
-3.263 0.733 -3.770
-3.950 4.649 -0.415
-6.129 -0.358 -1.903
-5.813 2.011 1.153
-1.904 4.356 2.133
-2.220 1.987 -0.923
-2.730 -1.414 -1.843
-5.108 -3.283 -0.149
-1.189 -0.934 0.847
-3.566 -2.803 2.542
```

Output
Raw formation energy ... -2.5 eV/f.u.
Total moment ... 0.000 μB per atom
SG ... Ibam
Uncorrected energy ... -36.106 eV per cell

=====

The following is a DFT calculation (PBE-GGA) of crystalline AlBiBC2 at its relaxed geometry.

Structure (POSCAR):
```
AlBiBC2
1.0
-1.954 -2.578 2.051
-0.808 -2.352 -3.726
3.221 -1.995 0.561
Al Bi B C
1 1 1 2
Cartesian
-0.404 -1.176 -1.863
0.229 -3.463 -0.557
0.000 0.000 0.000
-0.977 -1.289 1.026
1.610 -0.998 0.281
```

Output
Energy relative to the elements ... 2.006 eV per atom
Total moment ... 0.000 μB per atom
Relative energy among the computed polymorphs ... 0 meV per atom
SG ... P4/mmm
Uncorrected energy ... -22.718 eV per cell

=====

The following is a DFT calculation (PBE-GGA) of crystalline Pd3S at its relaxed geometry.

Structure (POSCAR):
```
Pd3S
1.0
3.275 0.000 0.000
0.000 4.771 0.000
-1.637 -2.386 4.001
S Pd
1 3
Cartesian
0.000 0.120 0.000
0.000 1.799 2.381
1.637 1.849 0.000
1.637 -0.587 1.621
```

Output
Raw formation energy ... -0.2 eV/f.u.
Total moment ... 0.000 μB per atom
SG ... Imm2
Uncorrected energy ... -19.919 eV per cell

=====

The following is a DFT calculation (PBE-GGA) of crystalline BeSbTe at its relaxed geometry.

Structure (POSCAR):
```
BeSbTe
1.0
-3.321 1.871 0.595
1.070 -2.837 2.386
2.483 3.454 2.995
Be Sb Te
1 1 1
Cartesian
2.452 3.411 2.957
-1.176 1.250 2.014
1.438 1.282 3.999
```

Output
Raw formation energy ... 0.5 eV/f.u.
Total moment ... 0.000 μB per atom
Relative energy among the computed polymorphs ... 247 meV per atom
SG ... P3m1
Uncorrected energy ... -10.460 eV per cell